VASP calculation (PBE) on a relaxed structure of Li3C2.

a b c (Å): 2.5736 4.4194 8.9636
angles (deg): 90.00 91.70 90.00
Closest atoms and distances in Å follow each position.
Space group P2_1 (No. 4)
Asymmetric unit:
Li1 0.2118 0.0000 0.1118  3 C 2.17-2.18
Li2 0.2466 0.2523 0.4614  6 C 2.23-2.28
Li3 0.2782 0.9880 0.7646  3 C 2.14-2.20
C1 0.2331 0.8171 0.3365  2 C 1.47
C2 0.2699 0.4650 0.6927  2 C 1.47

Values from the calculation:
E = -47.6 eV for the cell shown
Energy of formation from the pure elements = 0.41 eV per formula unit
DOS(E_F) = 0.97 states/eV per cell

VASP calculation (PBE) on a relaxed structure of LiC6.

a b c (Å): 3.8255 3.8255 3.8255
angles (deg): 90.00 90.00 90.00
Closest atoms and distances in Å follow each position.
Space group Pm-3m (No. 221)
Asymmetric unit:
Li1 0.0000 0.0000 0.0000  24 C 2.79
C1 0.1755 0.5000 0.5000  1 C 1.34

Values from the calculation:
E = -42.6 eV for the cell shown
Energy of formation from the pure elements = 14.65 eV per formula unit
DOS(E_F) = 2.57 states/eV per cell

VASP calculation (PBE) on a relaxed structure of LiC2.

a b c (Å): 6.5924 2.6038 3.3230
angles (deg): 90.00 101.48 90.00
Closest atoms and distances in Å follow each position.
Space group C2/m (No. 12)
Asymmetric unit:
Li1 0.0000 0.0000 0.0000  6 C 2.26-2.33
C1 0.2317 0.5000 0.4572  2 C 1.34

Values from the calculation:
E = -38.6 eV for the cell shown
Energy of formation from the pure elements = 1.04 eV per formula unit
DOS(E_F) = 0.57 states/eV per cell

VASP calculation (PBE) on a relaxed structure of Li5C.

a b c (Å): 2.7519 2.7519 11.2412
angles (deg): 90.00 90.00 90.00
Closest atoms and distances in Å follow each position.
Space group P4/mmm (No. 123)
Asymmetric unit:
Li1 0.0000 0.0000 0.0000  12 Li 2.75-3.04
Li2 0.0000 0.0000 0.4026  1 Li 2.19, 4 C 2.23
Li3 0.5000 0.5000 0.2082  12 Li 2.75-3.04
C1 0.5000 0.5000 0.5000  8 Li 2.23

Values from the calculation:
E = -16.1 eV for the cell shown
Energy of formation from the pure elements = 2.66 eV per formula unit
DOS(E_F) = 2.54 states/eV per cell

VASP calculation (PBE) on a relaxed structure of Li3C2.

a b c (Å): 9.0250 16.3300 2.5689
angles (deg): 90.00 90.00 90.00
Closest atoms and distances in Å follow each position.
Space group Fdd2 (No. 43)
Asymmetric unit:
Li1 0.0000 0.0000 0.0000  6 C 2.38-2.49, 6 Li 2.55-2.60
Li2 0.0785 0.3587 0.8186  3 C 2.12-2.21
C1 0.0234 0.2319 0.7918  2 C 1.48

Values from the calculation:
E = -184.3 eV for the cell shown
Energy of formation from the pure elements = 1.16 eV per formula unit
DOS(E_F) = 9.38 states/eV per cell

VASP calculation (PBE) on a relaxed structure of Li5C.

a b c (Å): 6.6432 6.6432 6.6432
angles (deg): 90.00 90.00 90.00
Closest atoms and distances in Å follow each position.
Space group F-43m (No. 216)
Asymmetric unit:
Li1 0.0000 0.0000 0.0000  12 Li 2.76, 4 C 2.88
Li2 0.1228 0.1228 0.6228  6 Li 2.31-2.39
C1 0.2500 0.2500 0.2500  16 Li 2.75-2.88

Values from the calculation:
E = -57.0 eV for the cell shown
Energy of formation from the pure elements = 4.55 eV per formula unit
DOS(E_F) = 1.44 states/eV per cell

VASP calculation (PBE) on a relaxed structure of Li2C.

a b c (Å): 5.1916 5.1916 5.1916
angles (deg): 90.00 90.00 90.00
Closest atoms and distances in Å follow each position.
Space group Fm-3m (No. 225)
Asymmetric unit:
Li1 0.2500 0.2500 0.2500  4 C 2.25
C1 0.0000 0.0000 0.0000  8 Li 2.25

Values from the calculation:
E = -41.2 eV for the cell shown
Energy of formation from the pure elements = 2.75 eV per formula unit
DOS(E_F) = 5.54 states/eV per cell

VASP calculation (PBE) on a relaxed structure of LiC3.

a b c (Å): 2.4139 5.4679 6.5127
angles (deg): 90.00 90.00 90.00
Closest atoms and distances in Å follow each position.
Space group Immm (No. 71)
Asymmetric unit:
Li1 0.0000 0.0000 0.0000  4 C 2.18, 2 Li 2.41
C1 0.0000 0.1673 0.5000  2 C 1.51
C2 0.0000 0.5000 0.0000  4 C 1.51

Values from the calculation:
E = -47.4 eV for the cell shown
Energy of formation from the pure elements = 5.88 eV per formula unit
DOS(E_F) = 2.19 states/eV per cell

VASP calculation (PBE) on a relaxed structure of LiC2.

a b c (Å): 2.5680 2.5680 28.2508
angles (deg): 90.00 90.00 90.00
Closest atoms and distances in Å follow each position.
Space group I4_1/amd (No. 141, origin choice 2)
Asymmetric unit:
Li1 0.0000 0.2500 0.3115  10 C 2.21-2.40
C1 0.0000 0.2500 0.1251  4 C 1.82
C2 0.0000 0.2500 0.7559  2 C 1.33

Values from the calculation:
E = -139.0 eV for the cell shown
Energy of formation from the pure elements = 2.99 eV per formula unit
DOS(E_F) = 3.80 states/eV per cell

VASP calculation (PBE) on a relaxed structure of LiC2.

a b c (Å): 6.5567 4.3224 5.1159
angles (deg): 90.00 90.00 90.00
Closest atoms and distances in Å follow each position.
Space group Pnma (No. 62)
Asymmetric unit:
Li1 0.1470 0.2500 0.0627  3 C 2.15-2.33
C1 0.0023 0.2500 0.4399  1 C 1.30
C2 0.0117 0.7500 0.3063  1 C 1.30

Values from the calculation:
E = -67.4 eV for the cell shown
Energy of formation from the pure elements = 3.52 eV per formula unit
DOS(E_F) = 0.11 states/eV per cell

VASP calculation (PBE) on a relaxed structure of Li3C.

a b c (Å): 4.2466 4.2466 4.2466
angles (deg): 90.00 90.00 90.00
Closest atoms and distances in Å follow each position.
Space group Pm-3n (No. 223)
Asymmetric unit:
Li1 0.0000 0.2500 0.5000  2 Li 2.12, 4 C 2.37
C1 0.0000 0.0000 0.0000  12 Li 2.37

Values from the calculation:
E = -25.6 eV for the cell shown
Energy of formation from the pure elements = 2.14 eV per formula unit
DOS(E_F) = 4.59 states/eV per cell

VASP calculation (PBE) on a relaxed structure of Li5C.

a b c (Å): 3.8497 9.9953 3.8057
angles (deg): 90.00 90.00 90.00
Closest atoms and distances in Å follow each position.
Space group Cmmm (No. 65)
Asymmetric unit:
Li1 0.0000 0.0000 0.0000  8 Li 2.32-2.37
Li2 0.0000 0.1414 0.5000  2 Li 2.37, 2 C 2.39
Li3 0.0000 0.3705 0.0000  2 C 2.30, 2 Li 2.32
C1 0.0000 0.5000 0.5000  8 Li 2.30-2.39

Values from the calculation:
E = -32.9 eV for the cell shown
Energy of formation from the pure elements = 2.32 eV per formula unit
DOS(E_F) = 6.09 states/eV per cell